A relaxed Ho2MnBePt6 crystal. Source: Alexandria via LeMat-Bulk, functional PBE.

* DFT formation energy: -0.746 eV/atom
* Fermi-level density of states: 5.69 states/eV/f.u.
* size of the total moment: 12.5 μB per cell

abc: 5.6034 5.6034 20.4202
angles: 90.00 90.00 120.00
Space group R-3m (No. 166, hexagonal axes)
Symmetry-distinct sites (fractional):
Ho  0.0000  0.0000  0.2072 (multiplicity 6)
Mn  0.0000  0.0000  0.5000 (multiplicity 3)
Be  0.0000  0.0000  0.0000 (multiplicity 3)
Pt  0.0047  0.5024  0.2618 (multiplicity 18)